No. 1
The following is a GGA-PBE calculation of crystalline TlCd2W at its relaxed geometry, from the Alexandria database.

The space group is R-3m (No. 166, hexagonal axes) and the conventional cell measures 3.0992, 3.0992 and 30.4232 Å, with angles of 90.00, 90.00 and 120.00 degrees. The distinct sites, in fractional coordinates, are Tl at (0.0000, 0.0000, 0.0000), Cd at (0.0000, 0.0000, 0.2434) and W at (0.0000, 0.0000, 0.5000).

For the formation energy, the calculation gives 560 meV/atom.

No. 2
The following is a GGA-PBE calculation of crystalline Al2CoSe at its relaxed geometry, from the Alexandria database.

The space group is I-4m2 (No. 119) and the conventional cell measures 3.913, 3.913 and 7.931 Å, with angles of 90.00, 90.00 and 90.00 degrees. The distinct sites, in fractional coordinates, are Al at (0.000, 0.000, 0.000), Al at (0.000, 0.500, 0.250), Co at (0.000, 0.500, 0.750) and Se at (0.000, 0.000, 0.500).

Its raw formation energy is 14 kJ/mol of atoms.

No. 3
The following is a GGA-PBE calculation of crystalline TlGaPd6 at its relaxed geometry, from the Alexandria database.

The space group is P4/mmm (No. 123) and the conventional cell measures 4.026, 4.026 and 7.928 Å, with angles of 90.00, 90.00 and 90.00 degrees. The distinct sites, in fractional coordinates, are Tl at (0.000, 0.000, 0.000), Ga at (0.000, 0.000, 0.500), Pd at (0.000, 0.500, 0.265), Pd at (0.500, 0.500, 0.000) and Pd at (0.500, 0.500, 0.500).

For the formation energy, the calculation gives -312 meV/atom.

No. 4
The following is a GGA-PBE calculation of crystalline NdYSn6 at its relaxed geometry, from the Alexandria database.

The space group is P4/mmm (No. 123) and the conventional cell measures 4.821, 4.821 and 9.221 Å, with angles of 90.00, 90.00 and 90.00 degrees. The distinct sites, in fractional coordinates, are Nd at (0.000, 0.000, 0.000), Y at (0.000, 0.000, 0.500), Sn at (0.000, 0.500, 0.254), Sn at (0.500, 0.500, 0.000) and Sn at (0.500, 0.500, 0.500).

For the formation energy, the calculation gives -464 meV/atom.

Number 1: mass density 12.1 Mg/m³. Number 2: mass density 5.2 Mg/m³. Number 3: mass density 11.8 Mg/m³. Number 4: mass density 7.3 Mg/m³.